# 1
Compound: Tb4Y10Pu
Source: the Alexandria database
Functional: GGA-PBE
Structure: relaxed

a = 7.699 Å, b = 8.904 Å, c = 8.904 Å
α = 79.23°, β = 64.38°, γ = 64.38°
Site moments in Bohr magnetons follow the coordinates.
Positions (direct):
Tb: 0.232 0.000 0.536  -0.03
Tb: 0.768 0.464 0.000  -0.03
Tb: 0.232 0.536 0.000  -0.03
Tb: 0.768 0.000 0.464  -0.03
Y: 0.250 0.500 0.500  0.02
Y: 0.715 0.209 0.791  -0.09
Y: 0.076 0.209 0.209  -0.09
Y: 0.494 0.791 0.791  -0.09
Y: 0.715 0.791 0.209  -0.09
Y: 0.285 0.791 0.209  -0.09
Y: 0.750 0.500 0.500  0.02
Y: 0.285 0.209 0.791  -0.09
Y: 0.506 0.209 0.209  -0.09
Y: 0.924 0.791 0.791  -0.09
Pu: 0.000 0.000 0.000  -5.60

Computed properties:
Formation energy from the elements = 4.047 eV/f.u.
Crystal system = tetragonal

# 2
Compound: PbI2
Source: the Alexandria database
Functional: GGA-PBE
Structure: relaxed

a = 4.655 Å, b = 4.655 Å, c = 29.969 Å
α = 90.00°, β = 90.00°, γ = 120.00°
Positions (direct):
Pb: 0.667 0.333 0.250
Pb: 0.667 0.333 0.500
Pb: 0.333 0.667 0.750
Pb: 0.333 0.667 0.000
I: 0.667 0.333 0.688
I: 0.000 0.000 0.312
I: 0.000 0.000 0.562
I: 0.333 0.667 0.438
I: 0.333 0.667 0.188
I: 0.000 0.000 0.812
I: 0.667 0.333 0.938
I: 0.000 0.000 0.062

Computed properties:
Formation energy without anion corrections = -0.65 eV/atom
Crystal system = hexagonal

# 3
Compound: CaTl3Te
Source: the Alexandria database
Functional: GGA-PBE
Structure: relaxed

a = 5.936 Å, b = 5.936 Å, c = 5.936 Å
α = 90.00°, β = 90.00°, γ = 90.00°
Positions (direct):
Tl: 0.000 0.500 0.000
Tl: 0.000 0.000 0.500
Tl: 0.500 0.000 0.000
Te: 0.500 0.500 0.500
Ca: 0.000 0.000 0.000

Computed properties:
Offset from the most stable computed form = 0.119 eV per atom
Formation energy without anion corrections = 0.34 eV/atom
Crystal system = cubic

Number 1: magnetization 7.32 μB/cell. Number 2: magnetization 0.00 μB/cell. Number 3: magnetization 0.00 μB/cell.